Li2Sm2ThSn2 | Alexandria | PBE-GGA | optimized geometry; formation energy from the elements = -393 meV per atom; crystal system = trigonal
1.0
2.419 1.397 9.089
-2.419 1.397 9.089
0.000 -2.793 9.089
Li Sm Th Sn
2 2 1 2
Cartesian
0.000 0.000 2.577
0.000 0.000 24.692
0.000 0.000 10.120
0.000 0.000 17.149
0.000 0.000 13.634
0.000 0.000 6.434
0.000 0.000 20.834